The following is a DFT calculation (PBE) of a relaxed structure of LiZrHgCl2.

Cell: 4.4912 5.6922 4.4912 Å, 90.00 90.00 90.00°
Each line ends with the local moment (μB).
Fractional coordinates of all 5 atoms:
Li 0.0000 0.0000 0.0000  0.05
Hg 0.5000 0.5000 0.5000  0.05
Zr 0.0000 0.5000 0.0000  1.12
Cl 0.0000 0.0000 0.5000  0.01
Cl 0.5000 0.0000 0.0000  0.01

Properties
VASP energy = -3.114 eV per atom
space-group type = P4/mmm (123)
Fermi-level density of states = 3.65 states/eV/cell